VASP calculation (meta-GGA SCAN) on a crystal of Sn2SI relaxed with PBEsol.

abc: 5.239 5.239 5.239
angles: 60.00 60.00 60.00
Fractional coordinates of all 4 atoms:
Sn  0.250  0.250  0.250
Sn  0.750  0.750  0.750
I  0.500  0.500  0.500
S  0.000  0.000  0.000

Values from the calculation:
- E_form (uncorrected) (eV/atom) = 0.15
- electronic total energy (eV/atom) = -29.41
- symmetry = Fm-3m (225)